[1]
AsRuRh | PBE | relaxed

The excess energy over the best structure of this formula in the dataset comes out at 0.21 eV per formula unit. The calculated formation energy is -0.121 eV/atom. Its total magnetic moment is 0.0 μB/f.u.

The structure belongs to space group Cc (No. 9); the cell edges are 4.3568, 10.2297 and 4.5786 Å and the angles 90.00°, 118.19° and 90.00°. The distinct sites, in fractional coordinates, are As at (0.0000, 0.1231, 0.0000), Ru at (0.1430, 0.4264, 0.8071) and Rh at (0.3239, 0.1738, 0.6740).

[2]
AsRu2RhS | PBE | relaxed

The formation energy (no corrections) comes out at 1.115 eV per atom. Its total magnetic moment is 3.8 μB/f.u.

The structure belongs to space group P4/mmm (No. 123); the cell edges are 4.6013, 4.6013 and 4.5505 Å and the angles 90.00°, 90.00° and 90.00°. The distinct sites, in fractional coordinates, are As at (0.0000, 0.0000, 0.0000), Ru at (0.0000, 0.5000, 0.0000), Rh at (0.0000, 0.0000, 0.5000) and S at (0.5000, 0.5000, 0.5000).

[3]
SbAsRuRh2 | PBE | relaxed

The formation energy (no corrections) comes out at 1.194 eV per atom. Its total magnetic moment is 1.8 μB/f.u.

The structure belongs to space group P4/mmm (No. 123); the cell edges are 4.8037, 4.8037 and 4.8648 Å and the angles 90.00°, 90.00° and 90.00°. The distinct sites, in fractional coordinates, are Sb at (0.0000, 0.0000, 0.0000), As at (0.5000, 0.5000, 0.5000), Ru at (0.0000, 0.0000, 0.5000) and Rh at (0.0000, 0.5000, 0.0000).

[4]
As2RuRhSe | PBE | relaxed

The excess energy over the best structure of this formula in the dataset comes out at 0.00 eV per formula unit. The formation energy (no corrections) comes out at 0.783 eV per atom. Its total magnetic moment is 0.0 μB/f.u.

The structure belongs to space group P4/mmm (No. 123); the cell edges are 4.6163, 4.6163 and 5.0409 Å and the angles 90.00°, 90.00° and 90.00°. The distinct sites, in fractional coordinates, are As at (0.0000, 0.5000, 0.0000), Ru at (0.0000, 0.0000, 0.0000), Rh at (0.5000, 0.5000, 0.5000) and Se at (0.0000, 0.0000, 0.5000).

[5]
Sm2As4RuRh3 | PBE | relaxed

The calculated formation energy is -0.878 eV/atom. Its total magnetic moment is 0.0 μB/f.u.

The structure belongs to space group P-4m2 (No. 115); the cell edges are 4.2617, 4.2617 and 10.0334 Å and the angles 90.00°, 90.00° and 90.00°. The distinct sites, in fractional coordinates, are Sm at (0.0000, 0.5000, 0.2453), As at (0.0000, 0.0000, 0.0000), As at (0.0000, 0.5000, 0.6328), As at (0.5000, 0.5000, 0.0000), Ru at (0.0000, 0.0000, 0.5000), Rh at (0.0000, 0.5000, 0.8752) and Rh at (0.5000, 0.5000, 0.5000).

[6]
ThAs2RuRh5 | PBE | relaxed

The calculated formation energy is -0.076 eV/atom. Its total magnetic moment is 1.9 μB/f.u.

The structure belongs to space group P4/mmm (No. 123); the cell edges are 4.0665, 4.0665 and 11.6694 Å and the angles 90.00°, 90.00° and 90.00°. The distinct sites, in fractional coordinates, are Th at (0.0000, 0.0000, 0.0000), As at (0.5000, 0.5000, 0.2968), Ru at (0.5000, 0.5000, 0.5000), Rh at (0.0000, 0.5000, 0.1834) and Rh at (0.5000, 0.5000, 0.0000).

[7]
Th2As4Ru3Rh | PBE | relaxed

The calculated formation energy is -0.796 eV/atom. Its total magnetic moment is 0.0 μB/f.u.

The structure belongs to space group P-4m2 (No. 115); the cell edges are 4.3044, 4.3044 and 9.9226 Å and the angles 90.00°, 90.00° and 90.00°. The distinct sites, in fractional coordinates, are Th at (0.0000, 0.5000, 0.2461), As at (0.0000, 0.0000, 0.0000), As at (0.0000, 0.5000, 0.6363), As at (0.5000, 0.5000, 0.0000), Ru at (0.0000, 0.5000, 0.8805), Ru at (0.5000, 0.5000, 0.5000) and Rh at (0.0000, 0.0000, 0.5000).

[8]
TmAs2RuRh5 | PBE | relaxed

The calculated formation energy is 0.004 eV/atom. Its total magnetic moment is 2.0 μB/f.u.

The structure belongs to space group P4/mmm (No. 123); the cell edges are 3.9649, 3.9649 and 11.7290 Å and the angles 90.00°, 90.00° and 90.00°. The distinct sites, in fractional coordinates, are Tm at (0.0000, 0.0000, 0.0000), As at (0.5000, 0.5000, 0.2979), Ru at (0.5000, 0.5000, 0.5000), Rh at (0.0000, 0.5000, 0.1769) and Rh at (0.5000, 0.5000, 0.0000).

[9]
UAs2RuRh2 | PBE | relaxed

The calculated formation energy is -0.424 eV/atom. Its total magnetic moment is 1.2 μB/f.u.

The structure belongs to space group Pmc2_1 (No. 26); the cell edges are 3.7206, 8.1060 and 6.8091 Å and the angles 90.00°, 90.00° and 90.00°. The distinct sites, in fractional coordinates, are U at (0.0000, 0.0647, 0.0000), As at (0.0000, 0.3906, 0.7797), As at (0.5000, 0.1705, 0.3111), Ru at (0.5000, 0.1388, 0.6983), Rh at (0.0000, 0.3394, 0.4282) and Rh at (0.5000, 0.3725, 0.0323).

[10]
V2AsRuRh | PBE | relaxed

The calculated formation energy is 0.900 eV/atom. Its total magnetic moment is 0.0 μB/f.u.

The structure belongs to space group P4/mmm (No. 123); the cell edges are 4.4333, 4.4333 and 4.4004 Å and the angles 90.00°, 90.00° and 90.00°. The distinct sites, in fractional coordinates, are V at (0.0000, 0.5000, 0.0000), As at (0.0000, 0.0000, 0.0000), Ru at (0.5000, 0.5000, 0.5000) and Rh at (0.0000, 0.0000, 0.5000).

[11]
AsRh2S2 | PBE | relaxed

The excess energy over the best structure of this formula in the dataset comes out at 0.51 eV per formula unit. The formation energy (no corrections) comes out at 0.197 eV per atom. Its total magnetic moment is 0.0 μB/f.u.

The structure belongs to space group I4/mmm (No. 139); the cell edges are 3.9172, 3.9172 and 10.8653 Å and the angles 90.00°, 90.00° and 90.00°. The distinct sites, in fractional coordinates, are As at (0.0000, 0.0000, 0.0000), Rh at (0.0000, 0.0000, 0.3785) and S at (0.0000, 0.5000, 0.2500).

[12]
AsRh3S | PBE | relaxed

The excess energy over the best structure of this formula in the dataset comes out at 2.47 eV per formula unit. The formation energy (no corrections) comes out at 0.751 eV per atom. Its total magnetic moment is 1.5 μB/f.u.

The structure belongs to space group Pm-3m (No. 221); the cell edges are 4.5655, 4.5655 and 4.5655 Å and the angles 90.00°, 90.00° and 90.00°. The distinct sites, in fractional coordinates, are As at (0.0000, 0.0000, 0.0000), Rh at (0.0000, 0.0000, 0.5000) and S at (0.5000, 0.5000, 0.5000).

[13]
AsRhS3 | PBE | relaxed

The excess energy over the best structure of this formula in the dataset comes out at 0.00 eV per formula unit. The formation energy (no corrections) comes out at 0.583 eV per atom. Its total magnetic moment is 0.0 μB/f.u.

The structure belongs to space group Pm-3m (No. 221); the cell edges are 4.6071, 4.6071 and 4.6071 Å and the angles 90.00°, 90.00° and 90.00°. The distinct sites, in fractional coordinates, are As at (0.0000, 0.0000, 0.0000), Rh at (0.5000, 0.5000, 0.5000) and S at (0.0000, 0.5000, 0.5000).

[14]
AsRh3S | PBE | relaxed

The excess energy over the best structure of this formula in the dataset comes out at 0.00 eV per formula unit. The formation energy (no corrections) comes out at 0.256 eV per atom. Its total magnetic moment is 0.4 μB/f.u.

The structure belongs to space group Pm-3m (No. 221); the cell edges are 4.4017, 4.4017 and 4.4017 Å and the angles 90.00°, 90.00° and 90.00°. The distinct sites, in fractional coordinates, are As at (0.0000, 0.0000, 0.0000), Rh at (0.0000, 0.5000, 0.5000) and S at (0.5000, 0.5000, 0.5000).